Material: Cs2TlHgI6
Method: DFT, GGA-PBEsol
State: relaxed

* raw formation energy: -0.80 eV/atom

a b c (Å): 8.4892 8.4892 8.4892
angles (deg): 60.00 60.00 60.00
Closest atoms and distances in Å follow each position.
Element x y z (fractional)
1 I 0.2542 0.7458 0.2542  1 Hg 2.95, 1 Tl 3.05
2 I 0.7458 0.7458 0.2542  1 Hg 2.95, 1 Tl 3.05
3 I 0.7458 0.2542 0.2542  1 Hg 2.95, 1 Tl 3.05
4 I 0.2542 0.2542 0.7458  1 Hg 2.95, 1 Tl 3.05
5 I 0.2542 0.7458 0.7458  1 Hg 2.95, 1 Tl 3.05
6 I 0.7458 0.2542 0.7458  1 Hg 2.95, 1 Tl 3.05
7 Tl 0.0000 0.0000 0.0000  6 I 3.05
8 Hg 0.5000 0.5000 0.5000  6 I 2.95
9 Cs 0.7500 0.7500 0.7500  12 I 4.24
10 Cs 0.2500 0.2500 0.2500  12 I 4.24

Material: CsIn3Hg
Method: DFT, GGA-PBEsol
State: relaxed

* energy of formation from the pure elements: 0.90 eV/f.u.

a b c (Å): 5.6784 5.6784 5.6784
angles (deg): 90.00 90.00 90.00
Closest atoms and distances in Å follow each position.
Element x y z (fractional)
1 Hg 0.0000 0.0000 0.0000  6 In 2.84
2 Cs 0.5000 0.5000 0.5000  12 In 4.02
3 In 0.5000 0.0000 0.0000  2 Hg 2.84
4 In 0.0000 0.0000 0.5000  2 Hg 2.84
5 In 0.0000 0.5000 0.0000  2 Hg 2.84

Material: CsInHg3
Method: DFT, GGA-PBEsol
State: relaxed

* energy of formation from the pure elements: -0.44 eV/f.u.

a b c (Å): 5.6103 5.6103 5.6103
angles (deg): 90.00 90.00 90.00
Closest atoms and distances in Å follow each position.
Element x y z (fractional)
1 Hg 0.5000 0.0000 0.0000  2 In 2.81
2 Hg 0.0000 0.5000 0.0000  2 In 2.81
3 Hg 0.0000 0.0000 0.5000  2 In 2.81
4 Cs 0.5000 0.5000 0.5000  12 Hg 3.97
5 In 0.0000 0.0000 0.0000  6 Hg 2.81

Material: CsIn2TcHg
Method: DFT, GGA-PBEsol
State: relaxed

* energy of formation from the pure elements: 10.15 eV/f.u.

a b c (Å): 5.9862 6.1275 6.1275
angles (deg): 90.00 90.00 90.00
Closest atoms and distances in Å follow each position.
Element x y z (fractional)
1 Tc 0.5000 0.5000 0.5000  8 In 4.28, 4 Hg 4.33
2 Hg 0.5000 0.0000 0.0000  2 Cs 2.99
3 Cs 0.0000 0.0000 0.0000  2 Hg 2.99, 4 In 3.06
4 In 0.0000 0.5000 0.0000  2 Cs 3.06
5 In 0.0000 0.0000 0.5000  2 Cs 3.06

Calculated total energy, respectively: -23.7, -9.6, -6.1, -8.6 eV for the cell shown.